No. 1
First-principles (SCAN) data for Sr2AuBr at its PBEsol-relaxed geometry, as listed in Alexandria via LeMat-Bulk.

## Properties
Crystal system ... trigonal
Symmetry ... R-3m (166)

abc: 8.3265 8.3265 8.3265
angles: 30.23 30.23 30.23
With the nearest neighbours (Å) after each atom.
Sites, in units of the cell vectors:
Sr  0.2400  0.2400  0.2400  3 Au 3.06, 3 Br 3.35
Sr  0.7600  0.7600  0.7600  3 Au 3.06, 3 Br 3.35
Au  0.5000  0.5000  0.5000  6 Sr 3.06
Br  0.0000  0.0000  0.0000  6 Sr 3.35

No. 2
First-principles (SCAN) data for SrAu2Br at its PBEsol-relaxed geometry, as listed in Alexandria via LeMat-Bulk.

## Properties
Crystal system ... tetragonal
ΔE to the lowest computed polymorph ... 0 kJ/mol of formula units
Symmetry ... P4mm (99)

abc: 3.8153 3.8153 7.1631
angles: 90.00 90.00 90.00
With the nearest neighbours (Å) after each atom.
Sites, in units of the cell vectors:
Sr  0.0000  0.0000  0.0000  1 Au 2.80, 4 Br 3.05
Au  0.0000  0.0000  0.3907  4 Au 2.72, 1 Sr 2.80
Au  0.5000  0.5000  0.3383  4 Au 2.72
Br  0.5000  0.5000  0.8006  4 Sr 3.05, 1 Au 3.31

No. 3
First-principles (SCAN) data for SrAu2Br at its PBEsol-relaxed geometry, as listed in Alexandria via LeMat-Bulk.

## Properties
Crystal system ... orthorhombic
ΔE to the lowest computed polymorph ... 28 kJ/mol of formula units
Symmetry ... Cmmm (65)

abc: 4.0839 4.0839 5.8206
angles: 90.00 90.00 90.88
With the nearest neighbours (Å) after each atom.
Sites, in units of the cell vectors:
Sr  0.0000  0.0000  0.0000  4 Br 2.87-2.91
Au  0.2472  0.7528  0.5000  4 Au 2.87-2.94
Au  0.7528  0.2472  0.5000  4 Au 2.87-2.94
Br  0.5000  0.5000  0.0000  4 Sr 2.87-2.91

Number 1: density 5.79 g/cm3, formation energy (no corrections) -1.364 eV/atom. Number 2: density 8.94 g/cm3, formation energy (no corrections) -0.924 eV/atom. Number 3: density 9.61 g/cm3, formation energy (no corrections) -0.851 eV/atom.